Entry from Alexandria: TcPb2 after structural relaxation (PBE-GGA).

abc: 5.1228 5.1228 6.3407
angles: 90.00 90.00 120.00
Space group P6_3/mmc (No. 194)
Asymmetric unit:
Tc: 0.3333 0.6667 0.2500
Pb: 0.0000 0.0000 0.0000
Pb: 0.3333 0.6667 0.7500

Results
ΔE_f: 0.849 eV per atom
Energy relative to the lowest polymorph listed for this composition: 0.4757 eV/atom

Entry from Alexandria: MgCdIn2Co after structural relaxation (PBE-GGA).

abc: 4.9449 4.9449 4.9169
angles: 90.00 90.00 90.00
Space group P4/mmm (No. 123)
Asymmetric unit:
Mg: 0.0000 0.0000 0.0000
Cd: 0.5000 0.5000 0.0000
In: 0.0000 0.5000 0.5000
Co: 0.0000 0.0000 0.5000

Results
ΔE_f: 0.110 eV per atom

Entry from Alexandria: TlCu3Cl9 after structural relaxation (PBE-GGA).

abc: 18.8033 7.4731 13.1406
angles: 90.00 126.67 90.00
Space group Cc (No. 9)
Asymmetric unit:
Tl: 0.0000 0.2364 0.0000
Cu: 0.1415 0.3961 0.8282
Cu: 0.2542 0.0413 0.7614
Cu: 0.3563 0.3605 0.6620
Cl: 0.0243 0.3589 0.8308
Cl: 0.1207 0.4760 0.1560
Cl: 0.1277 0.0147 0.5670
Cl: 0.1862 0.1110 0.8481
Cl: 0.2271 0.3896 0.4674
Cl: 0.3286 0.0742 0.6802
Cl: 0.3716 0.4661 0.3174
Cl: 0.3784 0.0032 0.4534
Cl: 0.4766 0.3954 0.6651

Results
Raw formation energy: -0.477 eV/atom

Entry from Alexandria: BiNF3 after structural relaxation (PBE-GGA).

abc: 4.0636 4.0636 4.0636
angles: 90.00 90.00 90.00
Space group Pm-3m (No. 221)
Asymmetric unit:
Bi: 0.0000 0.0000 0.0000
N: 0.5000 0.5000 0.5000
F: 0.0000 0.5000 0.5000

Results
Raw formation energy: 0.089 eV/atom
Energy relative to the lowest polymorph listed for this composition: 1.9885 eV/atom

Entry from Alexandria: Zn2CdSb after structural relaxation (PBE-GGA).

abc: 8.5161 3.2861 6.2226
angles: 90.00 100.76 90.00
Space group Cm (No. 8)
Asymmetric unit:
Zn: 0.0000 0.0000 0.0000
Zn: 0.2343 0.5000 0.1610
Cd: 0.4825 0.0000 0.4041
Sb: 0.2488 0.0000 0.7242

Results
Raw formation energy: 0.097 eV/atom
Energy relative to the lowest polymorph listed for this composition: 0.0000 eV/atom

Entry from Alexandria: SrCaPr2 after structural relaxation (PBE-GGA).

abc: 8.6571 8.6571 8.6571
angles: 90.00 90.00 90.00
Space group Fm-3m (No. 225)
Asymmetric unit:
Sr: 0.0000 0.0000 0.0000
Ca: 0.0000 0.0000 0.5000
Pr: 0.2500 0.2500 0.2500

Results
ΔE_f: 0.167 eV per atom
Energy relative to the lowest polymorph listed for this composition: 0.0434 eV/atom

Short version: calculated volume = 24.0; 24.0; 28.5; 13.4; 21.4; 40.6 A^3/atom, in the order given.